[1]
Density functional theory data (PBE) for a relaxed structure of ScTi3Tc. Values from VASP.

Cell and atoms, written as Quantum ESPRESSO input:
```
&SYSTEM
  ibrav = 0, nat = 5, ntyp = 3
/
ATOMIC_SPECIES
Sc 44.96 Sc.upf
Tc 98.00 Tc.upf
Ti 47.87 Ti.upf
CELL_PARAMETERS angstrom
-3.3978 1.6437 2.4380
-2.9220 -2.3033 -2.5194
0.3281 -3.4905 2.8106
ATOMIC_POSITIONS crystal
Sc 0.0000 0.0000 0.0000
Tc 0.5000 0.5000 0.5000
Ti 0.0000 0.5000 0.0000
Ti 0.0000 0.0000 0.5000
Ti 0.5000 0.0000 0.0000
```

Output
symmetry = No. 221
distance to the lowest polymorph of the same formula = 1071 meV/atom
calculated formation energy = 7.03 eV/f.u.
DFT total energy = -6.67 eV/atom
ρ = 5.24 g cm⁻³
magnetization = 0.00 μB per formula unit

=====

[2]
Density functional theory data (PBE) for a relaxed structure of ScTi2Tc2. Values from VASP.

Cell and atoms, written as Quantum ESPRESSO input:
```
&SYSTEM
  ibrav = 0, nat = 10, ntyp = 3
/
ATOMIC_SPECIES
Sc 44.96 Sc.upf
Tc 98.00 Tc.upf
Ti 47.87 Ti.upf
CELL_PARAMETERS angstrom
-2.0593 -5.9508 3.8504
-2.1475 -3.2973 -6.2445
2.8480 -1.2069 -0.3421
ATOMIC_POSITIONS crystal
Sc 0.0000 0.0000 0.0000
Sc 0.5000 0.5000 0.0000
Tc 0.3478 0.8478 0.0000
Tc 0.8478 0.6522 0.0000
Tc 0.6522 0.1522 0.0000
Tc 0.1522 0.3478 0.0000
Ti 0.1447 0.6447 0.5000
Ti 0.6447 0.8553 0.5000
Ti 0.8553 0.3553 0.5000
Ti 0.3553 0.1447 0.5000
```

Output
symmetry = No. 127
distance to the lowest polymorph of the same formula = 7 meV/atom
calculated formation energy = -0.88 eV/f.u.
DFT total energy = -8.75 eV/atom
ρ = 6.60 g cm⁻³
magnetization = 0.00 μB per formula unit

=====

[3]
Density functional theory data (PBE) for a relaxed structure of Sc2TiTc3. Values from VASP.

Cell and atoms, written as Quantum ESPRESSO input:
```
&SYSTEM
  ibrav = 0, nat = 6, ntyp = 3
/
ATOMIC_SPECIES
Sc 44.96 Sc.upf
Ti 47.87 Ti.upf
Tc 98.00 Tc.upf
CELL_PARAMETERS angstrom
-1.9940 -3.4317 3.4714
5.2238 0.4924 -0.5224
-0.3966 5.2061 0.9153
ATOMIC_POSITIONS crystal
Sc 0.7558 0.3777 0.1335
Sc 0.2442 0.6223 0.8665
Ti 0.0000 0.0000 0.0000
Tc 0.5000 0.5000 0.5000
Tc 0.0000 0.0000 0.5000
Tc 0.5000 0.0000 0.5000
```

Output
symmetry = No. 166
calculated formation energy = -1.82 eV/f.u.
DFT total energy = -8.91 eV/atom
ρ = 6.86 g cm⁻³
magnetization = 0.00 μB per formula unit

=====

[4]
Density functional theory data (PBE) for a relaxed structure of ScTiTlTc. Values from VASP.

Cell and atoms, written as Quantum ESPRESSO input:
```
&SYSTEM
  ibrav = 0, nat = 4, ntyp = 4
/
ATOMIC_SPECIES
Sc 44.96 Sc.upf
Tl 204.38 Tl.upf
Tc 98.00 Tc.upf
Ti 47.87 Ti.upf
CELL_PARAMETERS angstrom
4.6988 0.0000 0.0000
2.3494 4.0693 0.0000
2.3494 1.3564 3.8366
ATOMIC_POSITIONS crystal
Sc 0.0000 0.0000 0.0000
Tl 0.2500 0.2500 0.2500
Tc 0.7500 0.7500 0.7500
Ti 0.5000 0.5000 0.5000
```

Output
symmetry = No. 216
calculated formation energy = -0.36 eV/f.u.
DFT total energy = -6.83 eV/atom
ρ = 8.95 g cm⁻³
magnetization = 0.00 μB per formula unit

=====

[5]
Density functional theory data (PBE) for a relaxed structure of ScTiVTc. Values from VASP.

Cell and atoms, written as Quantum ESPRESSO input:
```
&SYSTEM
  ibrav = 0, nat = 4, ntyp = 4
/
ATOMIC_SPECIES
Sc 44.96 Sc.upf
Ti 47.87 Ti.upf
Tc 98.00 Tc.upf
V 50.94 V.upf
CELL_PARAMETERS angstrom
4.5438 0.0000 0.0000
2.2719 3.9350 0.0000
2.2719 1.3117 3.7100
ATOMIC_POSITIONS crystal
Sc 0.5000 0.5000 0.5000
Ti 0.0000 0.0000 0.0000
Tc 0.2500 0.2500 0.2500
V 0.7500 0.7500 0.7500
```

Output
symmetry = No. 216
calculated formation energy = -0.17 eV/f.u.
DFT total energy = -8.47 eV/atom
ρ = 6.05 g cm⁻³
magnetization = 3.18 μB per formula unit

=====

[6]
Density functional theory data (PBE) for a relaxed structure of ScTl2Tc. Values from VASP.

Cell and atoms, written as Quantum ESPRESSO input:
```
&SYSTEM
  ibrav = 0, nat = 4, ntyp = 3
/
ATOMIC_SPECIES
Sc 44.96 Sc.upf
Tc 98.00 Tc.upf
Tl 204.38 Tl.upf
CELL_PARAMETERS angstrom
-0.2983 9.7736 -1.4423
-2.9785 8.8782 -3.1619
-3.1919 9.3538 0.1047
ATOMIC_POSITIONS crystal
Sc 0.4851 0.4851 0.4851
Tc 0.7557 0.7557 0.7557
Tl 0.0127 0.0127 0.0127
Tl 0.2464 0.2464 0.2464
```

Output
symmetry = No. 160
distance to the lowest polymorph of the same formula = 68 meV/atom
calculated formation energy = 0.99 eV/f.u.
DFT total energy = -5.11 eV/atom
ρ = 9.97 g cm⁻³
magnetization = 0.00 μB per formula unit

=====

[7]
Density functional theory data (PBE) for a relaxed structure of ScTl2Tc. Values from VASP.

Cell and atoms, written as Quantum ESPRESSO input:
```
&SYSTEM
  ibrav = 0, nat = 4, ntyp = 3
/
ATOMIC_SPECIES
Sc 44.96 Sc.upf
Tc 98.00 Tc.upf
Tl 204.38 Tl.upf
CELL_PARAMETERS angstrom
-4.0924 -2.2573 2.7678
-3.1463 -3.1754 -3.0857
5.3590 0.3604 0.8096
ATOMIC_POSITIONS crystal
Sc 0.5000 0.5000 0.0000
Tc 0.7500 0.2500 0.5000
Tl 0.0000 0.0000 0.0000
Tl 0.2500 0.7500 0.5000
```

Output
symmetry = No. 119
distance to the lowest polymorph of the same formula = 97 meV/atom
calculated formation energy = 1.11 eV/f.u.
DFT total energy = -5.08 eV/atom
ρ = 11.24 g cm⁻³
magnetization = 0.00 μB per formula unit

=====

[8]
Density functional theory data (PBE) for a relaxed structure of ScTl2Tc. Values from VASP.

Cell and atoms, written as Quantum ESPRESSO input:
```
&SYSTEM
  ibrav = 0, nat = 4, ntyp = 3
/
ATOMIC_SPECIES
Sc 44.96 Sc.upf
Tc 98.00 Tc.upf
Tl 204.38 Tl.upf
CELL_PARAMETERS angstrom
9.5964 0.0074 0.0044
9.0484 3.1965 0.0044
9.0484 1.5549 2.7929
ATOMIC_POSITIONS crystal
Sc 0.2500 0.2500 0.2500
Tc 0.7500 0.7500 0.7500
Tl 0.0058 0.0058 0.0058
Tl 0.4942 0.4942 0.4942
```

Output
symmetry = No. 166
distance to the lowest polymorph of the same formula = 203 meV/atom
calculated formation energy = 1.53 eV/f.u.
DFT total energy = -4.97 eV/atom
ρ = 10.73 g cm⁻³
magnetization = 0.00 μB per formula unit

=====

What did the third record say?
Density functional theory data (PBE) for a relaxed structure of Sc2TiTc3. Values from VASP.

Cell and atoms, written as Quantum ESPRESSO input:
```
&SYSTEM
  ibrav = 0, nat = 6, ntyp = 3
/
ATOMIC_SPECIES
Sc 44.96 Sc.upf
Ti 47.87 Ti.upf
Tc 98.00 Tc.upf
CELL_PARAMETERS angstrom
-1.9940 -3.4317 3.4714
5.2238 0.4924 -0.5224
-0.3966 5.2061 0.9153
ATOMIC_POSITIONS crystal
Sc 0.7558 0.3777 0.1335
Sc 0.2442 0.6223 0.8665
Ti 0.0000 0.0000 0.0000
Tc 0.5000 0.5000 0.5000
Tc 0.0000 0.0000 0.5000
Tc 0.5000 0.0000 0.5000
```

Output
symmetry = No. 166
calculated formation energy = -1.82 eV/f.u.
DFT total energy = -8.91 eV/atom
ρ = 6.86 g cm⁻³
magnetization = 0.00 μB per formula unit